DFT (GGA-PBE) results for a relaxed structure of Pr6In3Sb.

Computed properties:
Its crystal system is orthorhombic. For the electronic total energy, the calculation gives -4.478 eV/atom. The formation energy (no corrections) is -377 meV/atom. The calculation puts the calculated density at 6.64 g/cm³.

The structure in POSCAR format:
```
Pr6In3Sb
1.0
-5.151 -2.169 -5.210
2.302 -9.066 1.498
-6.990 2.091 6.041
Sb Pr In
2 12 6
direct
0.077 0.162 0.838
0.577 0.838 0.162
0.098 0.316 0.216
0.598 0.216 0.316
0.729 0.512 0.148
0.229 0.148 0.512
0.098 0.784 0.684
0.756 0.034 0.966
0.738 0.292 0.708
0.729 0.852 0.488
0.229 0.488 0.852
0.238 0.708 0.292
0.598 0.684 0.784
0.256 0.966 0.034
0.949 0.721 0.003
0.949 0.997 0.279
0.363 0.492 0.508
0.449 0.003 0.721
0.449 0.279 0.997
0.863 0.508 0.492
```